{
  "formula": "H2WF",
  "functional": "PBE+U",
  "state": "optimized geometry",
  "lattice": [[0.000, 2.573, 2.573], [2.573, 0.000, 2.573], [2.573, 2.573, 0.000]],
  "species": ["H", "H", "W", "F"],
  "frac_coords": [[0.250, 0.250, 0.250], [0.750, 0.750, 0.750], [0.000, 0.000, 0.000], [0.500, 0.500, 0.500]],
  "final_energy_ev_per_atom": -3.643,
  "relative_energy_mev_per_atom": 728,
  "density_g_cm3": 10.0,
  "spacegroup": "No. 225"
}